UPa5Se6: relaxed, PBE-GGA.

Cell and atoms, written as extended XYZ:
```
12
Lattice="6.9334 -0.1049 -1.3068 -3.7435 5.8369 -1.3068 0.1321 0.2374 7.0296" Properties=species:S:1:pos:R:3 pbc="T T T"
Pa -0.1861 3.8572 -1.3068
Se -0.9458 2.4757 1.1003
Se 0.7196 5.4683 3.3158
Se 4.2678 3.4937 3.3158
Se 2.4270 4.3612 -0.2097
Pa 5.2214 1.0033 2.2080
Pa -1.8994 4.9661 2.2080
Se 0.8950 1.6082 4.6258
U 0.0000 0.0000 0.0000
Pa 1.6610 2.9847 2.2080
Se 2.6024 0.5011 1.1003
Pa 3.3760 1.8749 -1.3068
```

Properties
V: 286 Å³/cell
energy: -0.287 Ha/atom
density of states at the Fermi level: 24.70 states/eV/f.u.